1.
VASP calculation (PBE) on a relaxed Ba6BiAs2Cl3 crystal.

Properties
The calculation puts the formation energy from raw total energies at -19.5 eV per formula unit. The value obtained for the density is 4510 kg/m³. Its space group is No. 12.

a b c (Å): 4.846 9.551 10.743
angles (deg): 101.25 103.04 90.00
Positions (direct):
Ba  0.332  0.894  0.665
Ba  0.674  0.574  0.347
Ba  0.668  0.106  0.335
Ba  0.008  0.256  0.017
Ba  0.992  0.744  0.983
Ba  0.326  0.426  0.653
Bi  0.500  0.000  0.000
As  0.832  0.660  0.665
As  0.168  0.340  0.335
Cl  0.500  0.500  0.000
Cl  0.830  0.165  0.660
Cl  0.170  0.835  0.340



2.
VASP calculation (PBE) on a relaxed Mg5Sc4Cd crystal.

Properties
The value obtained for the density is 3016 kg/m³. Its space group is No. 123. The density of states at the Fermi level comes out at 9.03 states/eV per cell. Its total DFT energy (no corrections) is -0.2559 Ry/atom.

a b c (Å): 3.599 3.599 17.583
angles (deg): 90.00 90.00 90.00
Positions (direct):
Mg  0.500  0.500  0.094
Mg  0.500  0.500  0.298
Mg  0.500  0.500  0.500
Mg  0.500  0.500  0.702
Mg  0.500  0.500  0.906
Sc  0.000  0.000  0.200
Sc  0.000  0.000  0.397
Sc  0.000  0.000  0.603
Sc  0.000  0.000  0.800
Cd  0.000  0.000  0.000



3.
VASP calculation (PBE) on a relaxed GdTm2Si crystal.

Properties
The calculation puts the formation energy from raw total energies at -0.6 eV per formula unit. The value obtained for the density is 7839 kg/m³. Its space group is No. 166. The density of states at the Fermi level comes out at 5.35 states/eV per cell.

a b c (Å): 3.594 3.594 10.120
angles (deg): 79.77 79.77 60.00
Positions (direct):
Gd  0.500  0.500  0.500
Si  0.000  0.000  0.000
Tm  0.268  0.268  0.196
Tm  0.732  0.732  0.804